Ga3Sb | PBEsol | optimized geometry

Summary:
* total magnetic moment: 0.0 μB/f.u.
* density of states at the Fermi level: 1.742 states/eV/f.u.
* ΔE_f (raw): 0.07 eV/atom

```
4
Lattice="4.1468 0.0000 0.0000 0.0000 4.1468 0.0000 -2.0734 -2.0734 4.7809" Properties=species:S:1:pos:R:3 pbc="T T T"
Ga 2.0734 0.0000 2.3904
Ga 2.0734 2.0734 0.0000
Ga 0.0000 2.0734 2.3904
Sb 0.0000 0.0000 0.0000
```